Entry 1:
# In3TcCl SCAN PBEsol geometry
data_In3TcCl
_cell_length_a 5.181
_cell_length_b 5.181
_cell_length_c 5.181
_cell_angle_alpha 90.00
_cell_angle_beta 90.00
_cell_angle_gamma 90.00
_symmetry_space_group_name_H-M 'P m -3 m'
_symmetry_Int_Tables_number 221
_symmetry_space_group_name_Hall '-P 4 2 3'
loop_
_atom_site_label
_atom_site_fract_x
_atom_site_fract_y
_atom_site_fract_z
In1 0.000 0.000 0.500
Tc1 0.500 0.500 0.500
Cl1 0.000 0.000 0.000
# DFT total energy: -2.0318 Ry per atom
# mass density: 5.7 g/cm³
# formation energy from raw total energies: 0.9959 eV/atom
# energy relative to the lowest polymorph listed for this composition: 0.904 eV per atom



Entry 2:
# In2TcCl SCAN PBEsol geometry
data_In2TcCl
_cell_length_a 5.090
_cell_length_b 5.090
_cell_length_c 2.897
_cell_angle_alpha 90.00
_cell_angle_beta 90.00
_cell_angle_gamma 90.00
_symmetry_space_group_name_H-M 'P 4 m m'
_symmetry_Int_Tables_number 99
_symmetry_space_group_name_Hall 'P 4 -2'
loop_
_atom_site_label
_atom_site_fract_x
_atom_site_fract_y
_atom_site_fract_z
In1 0.000 0.500 0.000
Tc1 0.000 0.000 0.500
Cl1 0.500 0.500 0.498
# DFT total energy: -2.0139 Ry per atom
# mass density: 8.0 g/cm³
# formation energy from raw total energies: 0.0525 eV/atom
# energy relative to the lowest polymorph listed for this composition: 0.000 eV per atom



Entry 3:
# In2TcCl SCAN PBEsol geometry
data_In2TcCl
_cell_length_a 3.431
_cell_length_b 4.769
_cell_length_c 9.244
_cell_angle_alpha 90.00
_cell_angle_beta 90.00
_cell_angle_gamma 90.00
_symmetry_space_group_name_H-M 'I m m m'
_symmetry_Int_Tables_number 71
_symmetry_space_group_name_Hall '-I 2 2'
loop_
_atom_site_label
_atom_site_fract_x
_atom_site_fract_y
_atom_site_fract_z
In1 0.000 0.000 0.236
Tc1 0.000 0.500 0.500
Cl1 0.000 0.500 0.000
# DFT total energy: -1.9849 Ry per atom
# mass density: 8.0 g/cm³
# formation energy from raw total energies: 0.4467 eV/atom
# energy relative to the lowest polymorph listed for this composition: 0.394 eV per atom



Entry 4:
# In2TcCl SCAN PBEsol geometry
data_In2TcCl
_cell_length_a 3.003
_cell_length_b 3.003
_cell_length_c 8.961
_cell_angle_alpha 90.00
_cell_angle_beta 90.00
_cell_angle_gamma 90.00
_symmetry_space_group_name_H-M 'P 4 m m'
_symmetry_Int_Tables_number 99
_symmetry_space_group_name_Hall 'P 4 -2'
loop_
_atom_site_label
_atom_site_fract_x
_atom_site_fract_y
_atom_site_fract_z
In1 0.000 0.000 0.000
In2 0.500 0.500 0.293
Tc1 0.000 0.000 0.513
Cl1 0.500 0.500 0.663
# DFT total energy: -1.9985 Ry per atom
# mass density: 7.5 g/cm³
# formation energy from raw total energies: 0.2616 eV/atom
# energy relative to the lowest polymorph listed for this composition: 0.209 eV per atom